# 1
## AgSbRh2 (GGA-PBE)

Data for a relaxed structure of AgSbRh2.

Calculated density in Mg/m³: 9.8
Crystal system: tetragonal
Formation energy from raw total energies in eV/atom: 0.140
Distance to the lowest polymorph of the same formula in kJ/mol of formula units: 117

Geometry as CIF:
```
data_AgSbRh2
_chemical_formula_sum 'Ag4 Sb4 Rh8'
_cell_length_a 7.2337
_cell_length_b 7.2337
_cell_length_c 5.6125
_cell_angle_alpha 90.00
_cell_angle_beta 90.00
_cell_angle_gamma 90.00
_space_group_name_H-M_alt 'I -4 2 d'
_space_group_IT_number 122
_space_group_name_Hall 'I -4 2bw'
loop_
_atom_site_label
_atom_site_type_symbol
_atom_site_fract_x
_atom_site_fract_y
_atom_site_fract_z
Ag1 Ag 0.0000 0.0000 0.0000
Sb1 Sb 0.0000 0.0000 0.5000
Rh1 Rh 0.2244 0.2500 0.6250
```

# 2
## AlAg2P (GGA-PBE)

Data for a relaxed structure of AlAg2P.

Calculated density in Mg/m³: 6.7
Crystal system: orthorhombic
Formation energy from the elements in eV/atom: 0.1787
Distance to the lowest polymorph of the same formula in kJ/mol of formula units: 35

Geometry as CIF:
```
data_AlAg2P
_chemical_formula_sum 'Al1 Ag2 P1'
_cell_length_a 2.8979
_cell_length_b 4.1243
_cell_length_c 5.6780
_cell_angle_alpha 90.00
_cell_angle_beta 90.00
_cell_angle_gamma 90.00
_space_group_name_H-M_alt 'P m m m'
_space_group_IT_number 47
_space_group_name_Hall '-P 2 2'
loop_
_atom_site_label
_atom_site_type_symbol
_atom_site_fract_x
_atom_site_fract_y
_atom_site_fract_z
Al1 Al 0.0000 0.0000 0.0000
Ag1 Ag 0.5000 0.5000 0.2447
P1 P 0.0000 0.0000 0.5000
```

# 3
## KCeHf4O12 (GGA-PBE)

Data for a relaxed structure of KCeHf4O12.

Calculated density in Mg/m³: 6.7
Crystal system: orthorhombic
Formation energy from raw total energies in eV/atom: -2.830

Geometry as CIF:
```
data_KCeHf4O12
_chemical_formula_sum 'K2 Ce2 Hf8 O24'
_cell_length_a 8.1455
_cell_length_b 8.0692
_cell_length_c 8.1907
_cell_angle_alpha 90.00
_cell_angle_beta 90.00
_cell_angle_gamma 90.00
_space_group_name_H-M_alt 'A m m 2'
_space_group_IT_number 38
_space_group_name_Hall 'A 2 -2'
loop_
_atom_site_label
_atom_site_type_symbol
_atom_site_fract_x
_atom_site_fract_y
_atom_site_fract_z
K1 K 0.0000 0.0000 0.0000
Ce1 Ce 0.5000 0.0000 0.5026
Hf1 Hf 0.2468 0.2496 0.2502
O1 O 0.0000 0.2234 0.7573
O2 O 0.2263 0.0000 0.2225
O3 O 0.2897 0.2184 0.5001
O4 O 0.3189 0.0000 0.7390
O5 O 0.5000 0.1804 0.2728
```

# 4
## NdAlGa2Au5 (GGA-PBE)

Data for a relaxed structure of NdAlGa2Au5.

Calculated density in Mg/m³: 10.9
Crystal system: orthorhombic
Formation energy from the elements in eV/atom: -0.2881

Geometry as CIF:
```
data_NdAlGa2Au5
_chemical_formula_sum 'Nd2 Al2 Ga4 Au10'
_cell_length_a 4.7994
_cell_length_b 6.0738
_cell_length_c 13.5117
_cell_angle_alpha 90.00
_cell_angle_beta 90.00
_cell_angle_gamma 90.00
_space_group_name_H-M_alt 'I m m m'
_space_group_IT_number 71
_space_group_name_Hall '-I 2 2'
loop_
_atom_site_label
_atom_site_type_symbol
_atom_site_fract_x
_atom_site_fract_y
_atom_site_fract_z
Nd1 Nd 0.0000 0.0000 0.0000
Al1 Al 0.0000 0.0000 0.5000
Ga1 Ga 0.0000 0.5000 0.1896
Au1 Au 0.0000 0.2650 0.3502
Au2 Au 0.0000 0.5000 0.0000
```

# 5
## ZrAsI (GGA-PBE)

Data for a relaxed structure of ZrAsI.

Calculated density in Mg/m³: 5.1
Crystal system: triclinic
Formation energy from raw total energies in eV/atom: -0.855
Distance to the lowest polymorph of the same formula in kJ/mol of formula units: 7

Geometry as CIF:
```
data_ZrAsI
_chemical_formula_sum 'Zr2 As2 I2'
_cell_length_a 3.6383
_cell_length_b 5.0540
_cell_length_c 11.1798
_cell_angle_alpha 83.45
_cell_angle_beta 81.84
_cell_angle_gamma 68.94
_space_group_name_H-M_alt 'P -1'
_space_group_IT_number 2
_space_group_name_Hall '-P 1'
loop_
_atom_site_label
_atom_site_type_symbol
_atom_site_fract_x
_atom_site_fract_y
_atom_site_fract_z
Zr1 Zr 0.1194 0.3746 0.3680
As1 As 0.3800 0.7931 0.4417
I1 I 0.2371 0.7410 0.8289
```

# 6
## BeTcS2N (GGA-PBE)

Data for a relaxed structure of BeTcS2N.

Calculated density in Mg/m³: 3.7
Crystal system: tetragonal
Formation energy from raw total energies in eV/atom: 0.627
Distance to the lowest polymorph of the same formula in kJ/mol of formula units: 0

Geometry as CIF:
```
data_BeTcS2N
_chemical_formula_sum 'Be1 Tc1 S2 N1'
_cell_length_a 4.7759
_cell_length_b 4.7759
_cell_length_c 3.6738
_cell_angle_alpha 90.00
_cell_angle_beta 90.00
_cell_angle_gamma 90.00
_space_group_name_H-M_alt 'P 4/m m m'
_space_group_IT_number 123
_space_group_name_Hall '-P 4 2'
loop_
_atom_site_label
_atom_site_type_symbol
_atom_site_fract_x
_atom_site_fract_y
_atom_site_fract_z
Be1 Be 0.0000 0.0000 0.0000
Tc1 Tc 0.5000 0.5000 0.5000
S1 S 0.0000 0.5000 0.5000
N1 N 0.5000 0.5000 0.0000
```

# 7
## NpGeAu4 (GGA-PBE)

Data for a relaxed structure of NpGeAu4.

Calculated density in Mg/m³: 14.6
Crystal system: cubic
Formation energy from the elements in eV/atom: -0.0057
Distance to the lowest polymorph of the same formula in kJ/mol of formula units: 50

Geometry as CIF:
```
data_NpGeAu4
_chemical_formula_sum 'Np4 Ge4 Au16'
_cell_length_a 7.9278
_cell_length_b 7.9278
_cell_length_c 7.9278
_cell_angle_alpha 90.00
_cell_angle_beta 90.00
_cell_angle_gamma 90.00
_space_group_name_H-M_alt 'F -4 3 m'
_space_group_IT_number 216
_space_group_name_Hall 'F -4 2 3'
loop_
_atom_site_label
_atom_site_type_symbol
_atom_site_fract_x
_atom_site_fract_y
_atom_site_fract_z
Np1 Np 0.0000 0.0000 0.0000
Ge1 Ge 0.2500 0.2500 0.7500
Au1 Au 0.1250 0.1250 0.3750
```

# 8
## LiCl3F (GGA-PBE)

Data for a relaxed structure of LiCl3F.

Calculated density in Mg/m³: 2.2
Crystal system: cubic
Formation energy from raw total energies in eV/atom: -0.209
Distance to the lowest polymorph of the same formula in kJ/mol of formula units: 0

Geometry as CIF:
```
data_LiCl3F
_chemical_formula_sum 'Li1 Cl3 F1'
_cell_length_a 4.6393
_cell_length_b 4.6393
_cell_length_c 4.6393
_cell_angle_alpha 90.00
_cell_angle_beta 90.00
_cell_angle_gamma 90.00
_space_group_name_H-M_alt 'P m -3 m'
_space_group_IT_number 221
_space_group_name_Hall '-P 4 2 3'
loop_
_atom_site_label
_atom_site_type_symbol
_atom_site_fract_x
_atom_site_fract_y
_atom_site_fract_z
Li1 Li 0.0000 0.0000 0.0000
Cl1 Cl 0.0000 0.5000 0.5000
F1 F 0.5000 0.5000 0.5000
```

# 9
## CaSc2Se (GGA-PBE)

Data for a relaxed structure of CaSc2Se.

Calculated density in Mg/m³: 3.3
Crystal system: orthorhombic
Formation energy from raw total energies in eV/atom: -0.664

Geometry as CIF:
```
data_CaSc2Se
_chemical_formula_sum 'Ca2 Sc4 Se2'
_cell_length_a 3.6844
_cell_length_b 4.4561
_cell_length_c 12.6645
_cell_angle_alpha 90.00
_cell_angle_beta 90.00
_cell_angle_gamma 90.00
_space_group_name_H-M_alt 'A m m 2'
_space_group_IT_number 38
_space_group_name_Hall 'A 2 -2'
loop_
_atom_site_label
_atom_site_type_symbol
_atom_site_fract_x
_atom_site_fract_y
_atom_site_fract_z
Ca1 Ca 0.0000 0.0000 0.0000
Sc1 Sc 0.0000 0.0000 0.7193
Sc2 Sc 0.5000 0.0000 0.3307
Se1 Se 0.5000 0.0000 0.5513
```

# 10
## P2PdOF (GGA-PBE)

Data for a relaxed structure of P2PdOF.

Calculated density in Mg/m³: 4.9
Crystal system: tetragonal
Formation energy from raw total energies in eV/atom: 0.725
Distance to the lowest polymorph of the same formula in kJ/mol of formula units: 83

Geometry as CIF:
```
data_P2PdOF
_chemical_formula_sum 'P2 Pd1 O1 F1'
_cell_length_a 4.0573
_cell_length_b 4.0573
_cell_length_c 4.1697
_cell_angle_alpha 90.00
_cell_angle_beta 90.00
_cell_angle_gamma 90.00
_space_group_name_H-M_alt 'P 4/m m m'
_space_group_IT_number 123
_space_group_name_Hall '-P 4 2'
loop_
_atom_site_label
_atom_site_type_symbol
_atom_site_fract_x
_atom_site_fract_y
_atom_site_fract_z
P1 P 0.0000 0.5000 0.0000
Pd1 Pd 0.0000 0.0000 0.5000
O1 O 0.5000 0.5000 0.5000
F1 F 0.5000 0.5000 0.0000
```

# 11
## TcSbPF2 (GGA-PBE)

Data for a relaxed structure of TcSbPF2.

Calculated density in Mg/m³: 5.2
Crystal system: tetragonal
Formation energy from raw total energies in eV/atom: -0.554

Geometry as CIF:
```
data_TcSbPF2
_chemical_formula_sum 'Tc1 Sb1 P1 F2'
_cell_length_a 3.9897
_cell_length_b 3.9897
_cell_length_c 5.7583
_cell_angle_alpha 90.00
_cell_angle_beta 90.00
_cell_angle_gamma 90.00
_space_group_name_H-M_alt 'P 4/m m m'
_space_group_IT_number 123
_space_group_name_Hall '-P 4 2'
loop_
_atom_site_label
_atom_site_type_symbol
_atom_site_fract_x
_atom_site_fract_y
_atom_site_fract_z
Tc1 Tc 0.0000 0.0000 0.0000
Sb1 Sb 0.0000 0.0000 0.5000
P1 P 0.5000 0.5000 0.5000
F1 F 0.0000 0.5000 0.0000
```

# 12
## Na2TiTl2 (GGA-PBE)

Data for a relaxed structure of Na2TiTl2.

Calculated density in Mg/m³: 6.0
Crystal system: tetragonal
Formation energy from the elements in eV/atom: 0.2953
Distance to the lowest polymorph of the same formula in kJ/mol of formula units: 0

Geometry as CIF:
```
data_Na2TiTl2
_chemical_formula_sum 'Na4 Ti2 Tl4'
_cell_length_a 7.6249
_cell_length_b 7.6249
_cell_length_c 4.8150
_cell_angle_alpha 90.00
_cell_angle_beta 90.00
_cell_angle_gamma 90.00
_space_group_name_H-M_alt 'P 4/m b m'
_space_group_IT_number 127
_space_group_name_Hall '-P 4 2ab'
loop_
_atom_site_label
_atom_site_type_symbol
_atom_site_fract_x
_atom_site_fract_y
_atom_site_fract_z
Na1 Na 0.1607 0.3393 0.0000
Ti1 Ti 0.0000 0.0000 0.5000
Tl1 Tl 0.1539 0.6539 0.5000
```

# 13
## SrZn2Ru (GGA-PBE)

Data for a relaxed structure of SrZn2Ru.

Calculated density in Mg/m³: 6.8
Crystal system: cubic
Formation energy from the elements in eV/atom: 0.3700

Geometry as CIF:
```
data_SrZn2Ru
_chemical_formula_sum 'Sr4 Zn8 Ru4'
_cell_length_a 6.7690
_cell_length_b 6.7690
_cell_length_c 6.7690
_cell_angle_alpha 90.00
_cell_angle_beta 90.00
_cell_angle_gamma 90.00
_space_group_name_H-M_alt 'F -4 3 m'
_space_group_IT_number 216
_space_group_name_Hall 'F -4 2 3'
loop_
_atom_site_label
_atom_site_type_symbol
_atom_site_fract_x
_atom_site_fract_y
_atom_site_fract_z
Sr1 Sr 0.0000 0.0000 0.0000
Zn1 Zn 0.0000 0.0000 0.5000
Zn2 Zn 0.2500 0.2500 0.7500
Ru1 Ru 0.2500 0.2500 0.2500
```

# 14
## NiRu2 (GGA-PBE)

Data for a relaxed structure of NiRu2.

Calculated density in Mg/m³: 11.0
Crystal system: trigonal
Formation energy from the elements in eV/atom: 0.1076
Distance to the lowest polymorph of the same formula in kJ/mol of formula units: 17

Geometry as CIF:
```
data_NiRu2
_chemical_formula_sum 'Ni3 Ru6'
_cell_length_a 2.6948
_cell_length_b 2.6948
_cell_length_c 18.8242
_cell_angle_alpha 90.00
_cell_angle_beta 90.00
_cell_angle_gamma 120.00
_space_group_name_H-M_alt 'R -3 m'
_space_group_IT_number 166
_space_group_name_Hall '-R 3 2"'
loop_
_atom_site_label
_atom_site_type_symbol
_atom_site_fract_x
_atom_site_fract_y
_atom_site_fract_z
Ni1 Ni 0.0000 0.0000 0.0000
Ru1 Ru 0.0000 0.0000 0.2221
```

# 15
## MgGa3Fe (GGA-PBE)

Data for a relaxed structure of MgGa3Fe.

Calculated density in Mg/m³: 5.0
Crystal system: cubic
Formation energy from the elements in eV/atom: 0.0227
Distance to the lowest polymorph of the same formula in kJ/mol of formula units: 0

Geometry as CIF:
```
data_MgGa3Fe
_chemical_formula_sum 'Mg1 Ga3 Fe1'
_cell_length_a 4.5912
_cell_length_b 4.5912
_cell_length_c 4.5912
_cell_angle_alpha 90.00
_cell_angle_beta 90.00
_cell_angle_gamma 90.00
_space_group_name_H-M_alt 'P m -3 m'
_space_group_IT_number 221
_space_group_name_Hall '-P 4 2 3'
loop_
_atom_site_label
_atom_site_type_symbol
_atom_site_fract_x
_atom_site_fract_y
_atom_site_fract_z
Mg1 Mg 0.0000 0.0000 0.0000
Ga1 Ga 0.0000 0.5000 0.5000
Fe1 Fe 0.5000 0.5000 0.5000
```

# 16
## Mn2TcRu (GGA-PBE)

Data for a relaxed structure of Mn2TcRu.

Calculated density in Mg/m³: 9.7
Crystal system: monoclinic
Formation energy from the elements in eV/atom: 0.0545

Geometry as CIF:
```
data_Mn2TcRu
_chemical_formula_sum 'Mn2 Tc1 Ru1'
_cell_length_a 4.5220
_cell_length_b 2.6903
_cell_length_c 4.6267
_cell_angle_alpha 90.00
_cell_angle_beta 109.26
_cell_angle_gamma 90.00
_space_group_name_H-M_alt 'P 1 2/m 1'
_space_group_IT_number 10
_space_group_name_Hall '-P 2y'
loop_
_atom_site_label
_atom_site_type_symbol
_atom_site_fract_x
_atom_site_fract_y
_atom_site_fract_z
Mn1 Mn 0.0000 0.0000 0.0000
Mn2 Mn 0.0000 0.5000 0.5000
Tc1 Tc 0.5000 0.0000 0.5000
Ru1 Ru 0.5000 0.5000 0.0000
```

# 17
## Zn2Hg2Cl (GGA-PBE)

Data for a relaxed structure of Zn2Hg2Cl.

Calculated density in Mg/m³: 7.7
Crystal system: tetragonal
Formation energy from raw total energies in eV/atom: -0.015
Distance to the lowest polymorph of the same formula in kJ/mol of formula units: 23

Geometry as CIF:
```
data_Zn2Hg2Cl
_chemical_formula_sum 'Zn4 Hg4 Cl2'
_cell_length_a 4.4396
_cell_length_b 4.4396
_cell_length_c 12.4039
_cell_angle_alpha 90.00
_cell_angle_beta 90.00
_cell_angle_gamma 90.00
_space_group_name_H-M_alt 'I 4/m m m'
_space_group_IT_number 139
_space_group_name_Hall '-I 4 2'
loop_
_atom_site_label
_atom_site_type_symbol
_atom_site_fract_x
_atom_site_fract_y
_atom_site_fract_z
Zn1 Zn 0.0000 0.5000 0.2500
Hg1 Hg 0.0000 0.0000 0.1128
Cl1 Cl 0.0000 0.0000 0.5000
```

# 18
## Ga2Ge2Se (GGA-PBE)

Data for a relaxed structure of Ga2Ge2Se.

Calculated density in Mg/m³: 5.8
Crystal system: tetragonal
Formation energy from raw total energies in eV/atom: 0.134
Distance to the lowest polymorph of the same formula in kJ/mol of formula units: 17

Geometry as CIF:
```
data_Ga2Ge2Se
_chemical_formula_sum 'Ga4 Ge4 Se2'
_cell_length_a 7.3406
_cell_length_b 7.3406
_cell_length_c 3.8745
_cell_angle_alpha 90.00
_cell_angle_beta 90.00
_cell_angle_gamma 90.00
_space_group_name_H-M_alt 'P 4/m b m'
_space_group_IT_number 127
_space_group_name_Hall '-P 4 2ab'
loop_
_atom_site_label
_atom_site_type_symbol
_atom_site_fract_x
_atom_site_fract_y
_atom_site_fract_z
Ga1 Ga 0.1732 0.3268 0.0000
Ge1 Ge 0.1354 0.6354 0.5000
Se1 Se 0.0000 0.0000 0.5000
```

# 19
## Ac3DyIn12 (GGA-PBE)

Data for a relaxed structure of Ac3DyIn12.

Calculated density in Mg/m³: 8.1
Crystal system: tetragonal
Formation energy from the elements in eV/atom: -0.3943

Geometry as CIF:
```
data_Ac3DyIn12
_chemical_formula_sum 'Ac3 Dy1 In12'
_cell_length_a 4.8502
_cell_length_b 4.8502
_cell_length_c 19.4638
_cell_angle_alpha 90.00
_cell_angle_beta 90.00
_cell_angle_gamma 90.00
_space_group_name_H-M_alt 'P 4/m m m'
_space_group_IT_number 123
_space_group_name_Hall '-P 4 2'
loop_
_atom_site_label
_atom_site_type_symbol
_atom_site_fract_x
_atom_site_fract_y
_atom_site_fract_z
Ac1 Ac 0.0000 0.0000 0.0000
Ac2 Ac 0.0000 0.0000 0.2588
Dy1 Dy 0.0000 0.0000 0.5000
In1 In 0.0000 0.5000 0.1290
In2 In 0.0000 0.5000 0.3857
In3 In 0.5000 0.5000 0.0000
In4 In 0.5000 0.5000 0.2504
In5 In 0.5000 0.5000 0.5000
```

# 20
## Rb2BeI6N (GGA-PBE)

Data for a relaxed structure of Rb2BeI6N.

Calculated density in Mg/m³: 3.9
Crystal system: tetragonal
Formation energy from raw total energies in eV/atom: -0.179

Geometry as CIF:
```
data_Rb2BeI6N
_chemical_formula_sum 'Rb4 Be2 I12 N2'
_cell_length_a 8.7903
_cell_length_b 8.7903
_cell_length_c 10.4168
_cell_angle_alpha 90.00
_cell_angle_beta 90.00
_cell_angle_gamma 90.00
_space_group_name_H-M_alt 'I 4/m m m'
_space_group_IT_number 139
_space_group_name_Hall '-I 4 2'
loop_
_atom_site_label
_atom_site_type_symbol
_atom_site_fract_x
_atom_site_fract_y
_atom_site_fract_z
Rb1 Rb 0.0000 0.5000 0.2500
Be1 Be 0.0000 0.0000 0.0000
I1 I 0.0000 0.0000 0.2972
I2 I 0.2086 0.2086 0.0000
N1 N 0.0000 0.0000 0.5000
```